Material: Tb2DyHoTh
Method: DFT, PBE
State: optimized geometry

Fermi-level density of states: 1.28 states/eV per atom
crystal system: monoclinic
magnetic moment: 0.00 μB per cell
electronic total energy: -48.43 eV/cell
energy of formation from the pure elements: 0.3286 eV/atom

a b c (Å): 8.467 6.353 6.304
angles (deg): 90.00 96.38 90.00
Space group P2/c (No. 13)
Symmetry-distinct sites (fractional):
Tb: 0.188 0.199 0.284 [4 per cell]
Dy: 0.500 0.500 0.000 [2 per cell]
Ho: 0.000 0.318 0.750 [2 per cell]
Th: 0.500 0.053 0.750 [2 per cell]

Material: TbDyHo5Th2
Method: DFT, PBE
State: optimized geometry

Fermi-level density of states: 1.35 states/eV per atom
crystal system: tetragonal
magnetic moment: 0.00 μB per cell
electronic total energy: -175.47 eV/cell
energy of formation from the pure elements: 0.3436 eV/atom

a b c (Å): 8.722 8.722 15.440
angles (deg): 90.00 90.00 90.00
Space group I4/mcm (No. 140)
Symmetry-distinct sites (fractional):
Tb: 0.000 0.500 0.250 [4 per cell]
Dy: 0.000 0.000 0.250 [4 per cell]
Ho: 0.000 0.000 0.000 [4 per cell]
Ho: 0.210 0.290 0.140 [16 per cell]
Th: 0.119 0.381 0.500 [8 per cell]

Material: Tb2Dy2HoTh
Method: DFT, PBE
State: optimized geometry

Fermi-level density of states: 1.54 states/eV per atom
crystal system: monoclinic
magnetic moment: 0.00 μB per cell
electronic total energy: -58.87 eV/cell
energy of formation from the pure elements: 0.1708 eV/atom

a b c (Å): 6.593 6.694 8.782
angles (deg): 90.00 96.65 90.00
Space group P2_1/m (No. 11)
Symmetry-distinct sites (fractional):
Tb: 0.183 0.000 0.180 [4 per cell]
Dy: 0.292 0.250 0.834 [2 per cell]
Dy: 0.420 0.250 0.491 [2 per cell]
Ho: 0.345 0.750 0.860 [2 per cell]
Th: 0.086 0.750 0.517 [2 per cell]

Material: Tb3Dy2Ho6Th
Method: DFT, PBE
State: optimized geometry

Fermi-level density of states: 1.29 states/eV per atom
crystal system: monoclinic
magnetic moment: 0.00 μB per cell
electronic total energy: -115.43 eV/cell
energy of formation from the pure elements: 0.0221 eV/atom

a b c (Å): 6.141 10.628 11.732
angles (deg): 90.00 100.05 90.00
Space group C2/m (No. 12)
Symmetry-distinct sites (fractional):
Tb: 0.000 0.000 0.000 [2 per cell]
Tb: 0.000 0.333 0.000 [4 per cell]
Dy: 0.000 0.167 0.500 [4 per cell]
Ho: 0.246 0.500 0.251 [4 per cell]
Ho: 0.249 0.335 0.749 [8 per cell]
Th: 0.000 0.500 0.500 [2 per cell]

Material: TbDyHoTh
Method: DFT, PBE
State: optimized geometry

ΔE to the lowest computed polymorph: 0 meV/atom
Fermi-level density of states: 1.64 states/eV per atom
crystal system: trigonal
magnetic moment: 0.57 μB per cell
electronic total energy: -63.61 eV/cell
energy of formation from the pure elements: 0.0070 eV/atom

a b c (Å): 3.5839 3.5839 34.2606
angles (deg): 90.00 90.00 120.00
Space group R3m (No. 160, hexagonal axes)
Symmetry-distinct sites (fractional):
Tb: 0.0000 0.0000 0.0000 [3 per cell]
Dy: 0.0000 0.0000 0.8318 [3 per cell]
Ho: 0.0000 0.0000 0.5817 [3 per cell]
Th: 0.0000 0.0000 0.4163 [3 per cell]

Material: TbDy6Ho2Th
Method: DFT, PBE
State: optimized geometry

Fermi-level density of states: 1.45 states/eV per atom
crystal system: monoclinic
magnetic moment: 0.00 μB per cell
electronic total energy: -189.25 eV/cell
energy of formation from the pure elements: 0.1506 eV/atom

a b c (Å): 9.254 14.900 9.343
angles (deg): 90.00 95.38 90.00
Space group C2/c (No. 15)
Symmetry-distinct sites (fractional):
Tb: 0.000 0.090 0.250 [4 per cell]
Dy: 0.059 0.324 0.440 [8 per cell]
Dy: 0.095 0.114 0.613 [8 per cell]
Dy: 0.209 0.278 0.816 [8 per cell]
Ho: 0.249 0.051 0.946 [8 per cell]
Th: 0.000 0.466 0.750 [4 per cell]

Q: Which value of electronic total energy does entry 3 give?
A: -58.87 eV/cell

Q: What is the magnetic moment in the second record?
A: 0.00 μB per cell

Q: The lowest electronic total energy belongs to which entry?
A: TbDy6Ho2Th

Q: The lowest Fermi-level density of states belongs to which entry?
A: Tb2DyHoTh